Record 1
# NaLi4Au3 (PBE, relaxed)
data_NaLi4Au3
_chemical_formula_sum 'Na2 Li8 Au6'
_symmetry_space_group_name_H-M 'P m m a'
_symmetry_Int_Tables_number 51
_cell_length_a 9.029
_cell_length_b 6.557
_cell_length_c 4.517
_cell_angle_alpha 90.00
_cell_angle_beta 90.00
_cell_angle_gamma 90.00
loop_
_symmetry_equiv_pos_as_xyz
'x,y,z'
'-x,-y,-z'
'-x+1/2,-y,z'
'x+1/2,y,-z'
'x+1/2,-y,-z'
'-x+1/2,y,z'
'-x,y,-z'
'x,-y,z'
loop_
_atom_site_label
_atom_site_type_symbol
_atom_site_fract_x
_atom_site_fract_y
_atom_site_fract_z
_atom_site_occupancy
Na1 Na 0.000 0.000 0.000 1
Li1 Li 0.000 0.274 0.500 1
Li2 Li 0.250 0.274 0.010 1
Au1 Au 0.000 0.500 0.000 1
Au2 Au 0.250 0.000 0.503 1
Au3 Au 0.250 0.500 0.510 1
# Energy of formation = -3.4 eV/f.u.
# Size of the total moment = 0.00 μB/cell

---

Record 2
# Ti2PbSe4 (PBE, relaxed)
data_Ti2PbSe4
_chemical_formula_sum 'Ti8 Pb4 Se16'
_symmetry_space_group_name_H-M 'C m c m'
_symmetry_Int_Tables_number 63
_symmetry_space_group_name_Hall '-C 2c 2'
_cell_length_a 3.809
_cell_length_b 12.472
_cell_length_c 13.381
_cell_angle_alpha 90.00
_cell_angle_beta 90.00
_cell_angle_gamma 90.00
loop_
_atom_site_label
_atom_site_type_symbol
_atom_site_fract_x
_atom_site_fract_y
_atom_site_fract_z
_atom_site_occupancy
Ti1 Ti 0.000 0.125 0.064 1
Pb1 Pb 0.000 0.387 0.250 1
Se1 Se 0.000 0.069 0.250 1
Se2 Se 0.000 0.232 0.604 1
Se3 Se 0.000 0.500 0.000 1
# Formation energy from raw total energies = -0.88 eV/atom
# Size of the total moment = 5.72 μB/cell

---

Record 3
# CaSiPO2 (PBE, relaxed)
data_CaSiPO2
_chemical_formula_sum 'Ca1 Si1 P1 O2'
_symmetry_space_group_name_H-M 'P 4/m m m'
_symmetry_Int_Tables_number 123
_symmetry_space_group_name_Hall '-P 4 2'
_cell_length_a 4.143
_cell_length_b 4.143
_cell_length_c 5.906
_cell_angle_alpha 90.00
_cell_angle_beta 90.00
_cell_angle_gamma 90.00
loop_
_atom_site_label
_atom_site_type_symbol
_atom_site_fract_x
_atom_site_fract_y
_atom_site_fract_z
_atom_site_occupancy
Ca1 Ca 0.000 0.000 0.000 1
Si1 Si 0.500 0.500 0.500 1
P1 P 0.000 0.000 0.500 1
O1 O 0.000 0.500 0.000 1
# Formation energy from raw total energies = 0.15 eV/atom
# Distance to the lowest polymorph of the same formula = 1.427 eV/atom
# Size of the total moment = 2.45 μB/cell

---

Record 4
# BaCo2Ag2 (PBE, relaxed)
data_BaCo2Ag2
_chemical_formula_sum 'Ba2 Co4 Ag4'
_symmetry_space_group_name_H-M 'I 4/m m m'
_symmetry_Int_Tables_number 139
_symmetry_space_group_name_Hall '-I 4 2'
_cell_length_a 4.412
_cell_length_b 4.412
_cell_length_c 10.838
_cell_angle_alpha 90.00
_cell_angle_beta 90.00
_cell_angle_gamma 90.00
loop_
_atom_site_label
_atom_site_type_symbol
_atom_site_fract_x
_atom_site_fract_y
_atom_site_fract_z
_atom_site_occupancy
Ba1 Ba 0.000 0.000 0.000 1
Co1 Co 0.000 0.000 0.400 1
Ag1 Ag 0.000 0.500 0.250 1
# Energy of formation = 1.7 eV/f.u.
# Distance to the lowest polymorph of the same formula = 0.000 eV/atom
# Size of the total moment = 5.99 μB/cell

---

Record 5
# PmYAl (PBE, relaxed)
data_PmYAl
_chemical_formula_sum 'Pm2 Y2 Al2'
_symmetry_space_group_name_H-M 'P 63/m m c'
_symmetry_Int_Tables_number 194
_symmetry_space_group_name_Hall '-P 6c 2c'
_cell_length_a 5.3474
_cell_length_b 5.3474
_cell_length_c 6.6686
_cell_angle_alpha 90.00
_cell_angle_beta 90.00
_cell_angle_gamma 120.00
loop_
_atom_site_label
_atom_site_type_symbol
_atom_site_fract_x
_atom_site_fract_y
_atom_site_fract_z
_atom_site_occupancy
Pm1 Pm 0.0000 0.0000 0.0000 1
Y1 Y 0.3333 0.6667 0.2500 1
Al1 Al 0.3333 0.6667 0.7500 1
# Energy of formation = -0.8 eV/f.u.
# Distance to the lowest polymorph of the same formula = 0.000 eV/atom
# Size of the total moment = 0.00 μB/cell

---

Record 6
# LiNb3B (PBE, relaxed)
data_LiNb3B
_chemical_formula_sum 'Li1 Nb3 B1'
_symmetry_space_group_name_H-M 'P m -3 m'
_symmetry_Int_Tables_number 221
_symmetry_space_group_name_Hall '-P 4 2 3'
_cell_length_a 4.392
_cell_length_b 4.392
_cell_length_c 4.392
_cell_angle_alpha 90.00
_cell_angle_beta 90.00
_cell_angle_gamma 90.00
loop_
_atom_site_label
_atom_site_type_symbol
_atom_site_fract_x
_atom_site_fract_y
_atom_site_fract_z
_atom_site_occupancy
Li1 Li 0.000 0.000 0.000 1
Nb1 Nb 0.000 0.500 0.500 1
B1 B 0.500 0.500 0.500 1
# Energy of formation = 1.2 eV/f.u.
# Distance to the lowest polymorph of the same formula = 0.000 eV/atom
# Size of the total moment = 0.00 μB/cell

---

Record 7
# ScSi2Pb (PBE, relaxed)
data_ScSi2Pb
_chemical_formula_sum 'Sc4 Si8 Pb4'
_symmetry_space_group_name_H-M 'I -4 2 d'
_symmetry_Int_Tables_number 122
_symmetry_space_group_name_Hall 'I -4 2bw'
_cell_length_a 7.727
_cell_length_b 7.727
_cell_length_c 5.853
_cell_angle_alpha 90.00
_cell_angle_beta 90.00
_cell_angle_gamma 90.00
loop_
_atom_site_label
_atom_site_type_symbol
_atom_site_fract_x
_atom_site_fract_y
_atom_site_fract_z
_atom_site_occupancy
Sc1 Sc 0.000 0.000 0.000 1
Si1 Si 0.244 0.250 0.125 1
Pb1 Pb 0.000 0.000 0.500 1
# Formation energy from raw total energies = 0.21 eV/atom
# Size of the total moment = 0.00 μB/cell

---

Record 8
# LaCe2Y3Se6 (PBE, relaxed)
data_LaCe2Y3Se6
_chemical_formula_sum 'La2 Ce4 Y6 Se12'
_symmetry_space_group_name_H-M 'C 1 2/m 1'
_symmetry_Int_Tables_number 12
_cell_length_a 7.165
_cell_length_b 12.428
_cell_length_c 7.288
_cell_angle_alpha 90.00
_cell_angle_beta 109.19
_cell_angle_gamma 90.00
loop_
_symmetry_equiv_pos_as_xyz
'x,y,z'
'-x,-y,-z'
'-x,y,-z'
'x,-y,z'
'x+1/2,y+1/2,z'
'-x+1/2,-y+1/2,-z'
'-x+1/2,y+1/2,-z'
'x+1/2,-y+1/2,z'
loop_
_atom_site_label
_atom_site_type_symbol
_atom_site_fract_x
_atom_site_fract_y
_atom_site_fract_z
_atom_site_occupancy
La1 La 0.000 0.000 0.000 1
Ce1 Ce 0.000 0.333 0.000 1
Y1 Y 0.000 0.163 0.500 1
Y2 Y 0.000 0.500 0.500 1
Se1 Se 0.243 0.331 0.736 1
Se2 Se 0.249 0.500 0.261 1
# Formation energy from raw total energies = -1.83 eV/atom
# Size of the total moment = 3.99 μB/cell

---

Record 9
# CaCu2Se (PBE, relaxed)
data_CaCu2Se
_chemical_formula_sum 'Ca2 Cu4 Se2'
_symmetry_space_group_name_H-M 'I m m 2'
_symmetry_Int_Tables_number 44
_cell_length_a 4.176
_cell_length_b 5.556
_cell_length_c 6.942
_cell_angle_alpha 90.00
_cell_angle_beta 90.00
_cell_angle_gamma 90.00
loop_
_symmetry_equiv_pos_as_xyz
'x,y,z'
'-x,-y,z'
'-x,y,z'
'x,-y,z'
'x+1/2,y+1/2,z+1/2'
'-x+1/2,-y+1/2,z+1/2'
'-x+1/2,y+1/2,z+1/2'
'x+1/2,-y+1/2,z+1/2'
loop_
_atom_site_label
_atom_site_type_symbol
_atom_site_fract_x
_atom_site_fract_y
_atom_site_fract_z
_atom_site_occupancy
Ca1 Ca 0.000 0.000 0.000 1
Cu1 Cu 0.000 0.000 0.501 1
Cu2 Cu 0.000 0.500 0.194 1
Se1 Se 0.000 0.500 0.810 1
# Formation energy from raw total energies = -0.30 eV/atom
# Size of the total moment = 0.00 μB/cell

---

Record 10
# Te2RhBr (PBE, relaxed)
data_Te2RhBr
_chemical_formula_sum 'Te2 Rh1 Br1'
_symmetry_space_group_name_H-M 'P 3 m 1'
_symmetry_Int_Tables_number 156
_cell_length_a 3.5668
_cell_length_b 3.5668
_cell_length_c 9.6539
_cell_angle_alpha 90.00
_cell_angle_beta 90.00
_cell_angle_gamma 120.00
loop_
_symmetry_equiv_pos_as_xyz
'x,y,z'
'-y,x-y,z'
'-x+y,-x,z'
'-y,-x,z'
'-x+y,y,z'
'x,x-y,z'
loop_
_atom_site_label
_atom_site_type_symbol
_atom_site_fract_x
_atom_site_fract_y
_atom_site_fract_z
_atom_site_occupancy
Te1 Te 0.0000 0.0000 0.0000 1
Te2 Te 0.3333 0.6667 0.5690 1
Rh1 Rh 0.0000 0.0000 0.7270 1
Br1 Br 0.6667 0.3333 0.3306 1
# Formation energy from raw total energies = 0.00 eV/atom
# Size of the total moment = 0.00 μB/cell

---

Record 11
# RbLi2Hg2Bi2 (PBE, relaxed)
data_RbLi2Hg2Bi2
_chemical_formula_sum 'Rb3 Li6 Hg6 Bi6'
_symmetry_space_group_name_H-M 'R -3 m'
_symmetry_Int_Tables_number 166
_symmetry_space_group_name_Hall '-R 3 2"'
_cell_length_a 4.9327
_cell_length_b 4.9327
_cell_length_c 30.0002
_cell_angle_alpha 90.00
_cell_angle_beta 90.00
_cell_angle_gamma 120.00
loop_
_atom_site_label
_atom_site_type_symbol
_atom_site_fract_x
_atom_site_fract_y
_atom_site_fract_z
_atom_site_occupancy
Rb1 Rb 0.0000 0.0000 0.0000 1
Li1 Li 0.0000 0.0000 0.1435 1
Hg1 Hg 0.0000 0.0000 0.4509 1
Bi1 Bi 0.0000 0.0000 0.2472 1
# Energy of formation = -2.3 eV/f.u.
# Size of the total moment = 0.00 μB/cell

---

Record 12
# BaAc2Mo2N6 (PBE, relaxed)
data_BaAc2Mo2N6
_chemical_formula_sum 'Ba1 Ac2 Mo2 N6'
_symmetry_space_group_name_H-M 'P -1'
_symmetry_Int_Tables_number 2
_cell_length_a 6.106
_cell_length_b 6.782
_cell_length_c 7.102
_cell_angle_alpha 115.19
_cell_angle_beta 100.67
_cell_angle_gamma 103.01
loop_
_symmetry_equiv_pos_as_xyz
'x,y,z'
'-x,-y,-z'
loop_
_atom_site_label
_atom_site_type_symbol
_atom_site_fract_x
_atom_site_fract_y
_atom_site_fract_z
_atom_site_occupancy
Ba1 Ba 0.000 0.000 0.000 1
Ac1 Ac 0.287 0.455 0.681 1
Mo1 Mo 0.435 0.955 0.664 1
N1 N 0.127 0.784 0.610 1
N2 N 0.398 0.237 0.332 1
N3 N 0.453 0.749 0.104 1
# Formation energy from raw total energies = -0.78 eV/atom
# Size of the total moment = 0.00 μB/cell